[1]
{
  "formula": "Tb2Er6Mg",
  "functional": "PBE",
  "state": "optimized geometry",
  "sg": "P4_2/mnm, No. 136",
  "e_above_lowest_polymorph_ev_per_fu": 0.00,
  "cell": [[10.4279, 0.0000, 0.0000], [0.0000, 10.4279, 0.0000], [0.0000, 0.0000, 4.9849]],
  "species": ["Tb", "Tb", "Tb", "Tb", "Er", "Er", "Er", "Er", "Er", "Er", "Er", "Er", "Er", "Er", "Er", "Er", "Mg", "Mg"],
  "fractional_positions": [[0.1661, 0.1661, 0.0000], [0.3339, 0.6661, 0.5000], [0.6661, 0.3339, 0.5000], [0.8339, 0.8339, 0.0000], [0.9998, 0.3341, 0.5000], [0.0002, 0.6659, 0.5000], [0.1659, 0.4998, 0.0000], [0.1674, 0.8326, 0.0000], [0.3326, 0.3326, 0.5000], [0.3341, 0.9998, 0.5000], [0.4998, 0.1659, 0.0000], [0.5002, 0.8341, 0.0000], [0.6659, 0.0002, 0.5000], [0.6674, 0.6674, 0.5000], [0.8326, 0.1674, 0.0000], [0.8341, 0.5002, 0.0000], [0.0000, 0.0000, 0.5000], [0.5000, 0.5000, 0.0000]]
}

[2]
{
  "formula": "TlMoIr2",
  "functional": "PBE",
  "state": "optimized geometry",
  "sg": "Fm-3m, No. 225",
  "e_above_lowest_polymorph_ev_per_fu": 2.03,
  "cell": [[0.0000, 3.2334, 3.2334], [3.2334, 0.0000, 3.2334], [3.2334, 3.2334, 0.0000]],
  "species": ["Tl", "Mo", "Ir", "Ir"],
  "fractional_positions": [[0.0000, 0.0000, 0.0000], [0.5000, 0.5000, 0.5000], [0.2500, 0.2500, 0.2500], [0.7500, 0.7500, 0.7500]]
}

[3]
{
  "formula": "AlSiPb",
  "functional": "PBE",
  "state": "optimized geometry",
  "sg": "I4mm, No. 107",
  "e_above_lowest_polymorph_ev_per_fu": 0.42,
  "cell": [[-1.6987, 1.6987, 5.6882], [1.6987, -1.6987, 5.6882], [1.6987, 1.6987, -5.6882]],
  "species": ["Al", "Si", "Pb"],
  "fractional_positions": [[0.0000, 0.0000, 0.0000], [0.5975, 0.5975, 0.0000], [0.2969, 0.2969, 0.0000]]
}

[4]
{
  "formula": "CuAg2O3",
  "functional": "PBE",
  "state": "optimized geometry",
  "sg": "Imm2, No. 44",
  "energy_ev_per_fu": -24.88,
  "cell": [[-1.6669, 5.2893, 2.4590], [1.6669, -5.2893, 2.4590], [1.6669, 5.2893, -2.4590]],
  "species": ["Cu", "Ag", "Ag", "O", "O", "O"],
  "fractional_positions": [[0.0000, 0.0000, 0.0000], [0.3159, 0.9841, 0.3318], [0.6524, 0.9841, 0.6682], [0.1903, 0.6903, 0.5000], [0.6352, 0.7817, 0.8535], [0.9282, 0.7817, 0.1465]]
}